(1)
VASP calculation (PBE) on a geometry-optimized ScAlIrPd structure.

Cell and atoms, written as extended XYZ:
```
4
Lattice="-1.858 0.106 -4.060 -0.382 -3.760 -2.380 -4.022 -1.824 -0.663" Properties=species:S:1:pos:R:3 pbc="T T T"
Sc -1.565 -1.369 -1.776
Ir 0.000 0.000 0.000
Al -4.696 -4.108 -5.327
Pd -3.131 -2.739 -3.551
```

total magnetic moment: 0.00 μB per cell
D(E_F): 2.702 states/eV/cell
energy relative to the elements: -0.950 eV per atom

***

(2)
VASP calculation (PBE) on a geometry-optimized Al2IrPdSe structure.

Cell and atoms, written as extended XYZ:
```
5
Lattice="4.649 0.000 0.000 0.000 5.116 0.000 0.000 0.000 4.649" Properties=species:S:1:pos:R:3 pbc="T T T"
Ir 0.000 0.000 0.000
Se 2.325 2.558 2.325
Pd 0.000 2.558 0.000
Al 0.000 0.000 2.325
Al 2.325 0.000 0.000
```

formation energy from raw total energies: 0.2799 eV per atom
total magnetic moment: 0.21 μB per cell
D(E_F): 6.383 states/eV/cell

***

(3)
VASP calculation (PBE) on a geometry-optimized Sm2Al4Ir3Pd structure.

Cell and atoms, written as extended XYZ:
```
10
Lattice="-3.058 -2.643 -1.256 2.265 -0.989 -3.435 4.542 -7.736 5.222" Properties=species:S:1:pos:R:3 pbc="T T T"
Sm -0.385 -3.270 0.687
Sm 4.531 -6.282 2.189
Al -0.396 -1.816 -2.346
Al 0.000 0.000 0.000
Al 1.311 -6.159 2.637
Al 2.835 -3.393 0.239
Ir 2.271 -3.868 2.611
Ir 2.399 -8.011 3.888
Ir 1.747 -1.541 -1.011
Pd 1.875 -5.684 0.266
```

total magnetic moment: 0.00 μB per cell
D(E_F): 5.367 states/eV/cell
energy relative to the elements: -0.883 eV per atom

***

(4)
VASP calculation (PBE) on a geometry-optimized Sm2Al4IrPd3 structure.

Cell and atoms, written as extended XYZ:
```
10
Lattice="-2.687 -1.931 -2.749 3.030 0.128 -3.051 3.444 -9.115 3.038" Properties=species:S:1:pos:R:3 pbc="T T T"
Sm -0.461 -3.301 -0.596
Sm 4.076 -6.716 0.734
Al 0.171 -0.902 -2.900
Al 0.000 0.000 0.000
Al 0.809 -6.663 0.525
Al 2.806 -3.354 -0.387
Ir 1.893 -5.459 -1.381
Pd 1.722 -4.557 1.519
Pd 1.646 -8.878 1.263
Pd 1.969 -1.138 -1.125
```

total magnetic moment: 0.00 μB per cell
D(E_F): 6.966 states/eV/cell
energy relative to the elements: -0.867 eV per atom

***

(5)
VASP calculation (PBE) on a geometry-optimized Ta2AlIrPd structure.

Cell and atoms, written as extended XYZ:
```
5
Lattice="4.768 0.000 0.000 0.000 4.950 0.000 0.000 0.000 4.768" Properties=species:S:1:pos:R:3 pbc="T T T"
Ir 0.000 0.000 0.000
Al 2.384 2.475 2.384
Pd 0.000 2.475 0.000
Ta 0.000 0.000 2.384
Ta 2.384 0.000 0.000
```

total magnetic moment: 0.00 μB per cell
D(E_F): 4.698 states/eV/cell
energy relative to the elements: 1.017 eV per atom

***

(6)
VASP calculation (PBE) on a geometry-optimized Ta2Al5Ir2Pd structure.

Cell and atoms, written as extended XYZ:
```
20
Lattice="-1.127 -0.362 -3.759 8.606 -1.237 -2.462 -0.954 -8.912 1.145" Properties=species:S:1:pos:R:3 pbc="T T T"
Ta 5.663 -2.423 -1.465
Ta 1.989 -7.727 0.148
Ta 1.222 -3.092 -0.069
Ta 6.429 -7.058 -1.248
Al 1.119 -0.989 -2.306
Al 5.405 -9.523 -2.770
Al -0.786 -7.366 -1.120
Al 5.064 -4.949 -3.108
Al 7.311 -3.146 -3.956
Al 1.460 -5.563 -1.968
Al 3.607 -7.138 -2.460
Al 2.917 -3.374 -2.616
Al 3.739 -0.800 -3.110
Al -1.041 -4.637 -1.307
Ir 0.445 -5.679 0.414
Ir 7.207 -4.471 -1.731
Ir 4.500 -8.606 -0.521
Ir 3.151 -1.543 -0.797
Pd 0.000 0.000 0.000
Pd 3.826 -5.075 -0.659
```

total magnetic moment: 0.00 μB per cell
D(E_F): 9.391 states/eV/cell
energy relative to the elements: -0.510 eV per atom

***

(7)
VASP calculation (PBE) on a geometry-optimized TbAl4IrPd2 structure.

Cell and atoms, written as extended XYZ:
```
8
Lattice="-1.991 -3.607 -1.103 2.265 -3.387 -1.260 0.542 -5.129 7.545" Properties=species:S:1:pos:R:3 pbc="T T T"
Tb 0.000 0.000 0.000
Al 0.540 -6.878 5.023
Al 0.456 -8.121 0.994
Al 0.361 -4.002 4.188
Al 0.277 -5.245 0.159
Ir 0.408 -6.061 2.591
Pd 0.593 -8.975 3.539
Pd 0.223 -3.147 1.643
```

total magnetic moment: 0.00 μB per cell
D(E_F): 4.957 states/eV/cell
energy relative to the elements: -0.766 eV per atom

***

(8)
VASP calculation (PBE) on a geometry-optimized ThAl4IrPd2 structure.

Cell and atoms, written as extended XYZ:
```
8
Lattice="-2.055 -0.202 -3.733 0.076 -3.602 -2.285 -8.082 -4.115 2.234" Properties=species:S:1:pos:R:3 pbc="T T T"
Th 0.000 0.000 0.000
Al -7.142 -4.769 -0.686
Al -4.971 -4.951 -4.309
Al -5.090 -2.967 0.524
Al -2.919 -3.149 -3.098
Ir -5.030 -3.959 -1.892
Pd -7.190 -5.803 -3.042
Pd -2.870 -2.116 -0.743
```

total magnetic moment: 0.00 μB per cell
D(E_F): 2.091 states/eV/cell
energy relative to the elements: -0.761 eV per atom